Entry 1:
# NbOsAu | the Open Quantum Materials Database | PBE | optimized geometry
# energy above the most stable polymorph in this dataset	0.0415	eV per atom
# ΔH_f (0 K)	0.518	eV/atom
data_NbOsAu
_cell_length_a 6.169
_cell_length_b 6.169
_cell_length_c 6.169
_cell_angle_alpha 90.00
_cell_angle_beta 90.00
_cell_angle_gamma 90.00
_symmetry_space_group_name_H-M 'F -4 3 m'
_symmetry_Int_Tables_number 216
_symmetry_space_group_name_Hall 'F -4 2 3'
loop_
_atom_site_label
_atom_site_fract_x
_atom_site_fract_y
_atom_site_fract_z
_atom_site_occupancy
Nb1 0.000 0.000 0.000 1
Os1 0.250 0.250 0.250 1
Au1 0.250 0.250 0.750 1

Entry 2:
# NbPAu | the Open Quantum Materials Database | PBE | optimized geometry
# uncorrected energy	-6.107	eV per atom
data_NbPAu
_cell_length_a 2.9556
_cell_length_b 2.9556
_cell_length_c 21.5988
_cell_angle_alpha 90.00
_cell_angle_beta 90.00
_cell_angle_gamma 120.00
_symmetry_space_group_name_H-M 'R 3 m'
_symmetry_Int_Tables_number 160
_symmetry_space_group_name_Hall 'R 3 -2"'
loop_
_atom_site_label
_atom_site_fract_x
_atom_site_fract_y
_atom_site_fract_z
_atom_site_occupancy
Nb1 0.0000 0.0000 0.0000 1
P1 0.0000 0.0000 0.7552 1
Au1 0.0000 0.0000 0.8725 1

Entry 3:
# Nb2PbAu | the Open Quantum Materials Database | PBE | optimized geometry
# uncorrected energy	-6.303	eV per atom
data_Nb2PbAu
_cell_length_a 6.833
_cell_length_b 6.833
_cell_length_c 6.833
_cell_angle_alpha 90.00
_cell_angle_beta 90.00
_cell_angle_gamma 90.00
_symmetry_space_group_name_H-M 'F -4 3 m'
_symmetry_Int_Tables_number 216
_symmetry_space_group_name_Hall 'F -4 2 3'
loop_
_atom_site_label
_atom_site_fract_x
_atom_site_fract_y
_atom_site_fract_z
_atom_site_occupancy
Nb1 0.000 0.000 0.000 1
Nb2 0.250 0.250 0.250 1
Pb1 0.000 0.000 0.500 1
Au1 0.250 0.250 0.750 1

Entry 4:
# NbPb2Au | the Open Quantum Materials Database | PBE | optimized geometry
# uncorrected energy	-4.669	eV per atom
data_NbPb2Au
_cell_length_a 7.245
_cell_length_b 7.245
_cell_length_c 7.245
_cell_angle_alpha 90.00
_cell_angle_beta 90.00
_cell_angle_gamma 90.00
_symmetry_space_group_name_H-M 'F -4 3 m'
_symmetry_Int_Tables_number 216
_symmetry_space_group_name_Hall 'F -4 2 3'
loop_
_atom_site_label
_atom_site_fract_x
_atom_site_fract_y
_atom_site_fract_z
_atom_site_occupancy
Nb1 0.000 0.000 0.000 1
Pb1 0.000 0.000 0.500 1
Pb2 0.250 0.250 0.750 1
Au1 0.250 0.250 0.250 1

Entry 5:
# NbPd2Au | the Open Quantum Materials Database | PBE | optimized geometry
# ΔH_f (0 K)	-0.150	eV/atom
data_NbPd2Au
_cell_length_a 6.419
_cell_length_b 6.419
_cell_length_c 6.419
_cell_angle_alpha 90.00
_cell_angle_beta 90.00
_cell_angle_gamma 90.00
_symmetry_space_group_name_H-M 'F -4 3 m'
_symmetry_Int_Tables_number 216
_symmetry_space_group_name_Hall 'F -4 2 3'
loop_
_atom_site_label
_atom_site_fract_x
_atom_site_fract_y
_atom_site_fract_z
_atom_site_occupancy
Nb1 0.000 0.000 0.000 1
Pd1 0.000 0.000 0.500 1
Pd2 0.250 0.250 0.750 1
Au1 0.250 0.250 0.250 1

Entry 6:
# NbPd2Au | the Open Quantum Materials Database | PBE | optimized geometry
# ΔH_f (0 K)	-0.150	eV/atom
data_NbPd2Au
_cell_length_a 6.419
_cell_length_b 6.419
_cell_length_c 6.419
_cell_angle_alpha 90.00
_cell_angle_beta 90.00
_cell_angle_gamma 90.00
_symmetry_space_group_name_H-M 'F -4 3 m'
_symmetry_Int_Tables_number 216
_symmetry_space_group_name_Hall 'F -4 2 3'
loop_
_atom_site_label
_atom_site_fract_x
_atom_site_fract_y
_atom_site_fract_z
_atom_site_occupancy
Nb1 0.000 0.000 0.000 1
Pd1 0.000 0.000 0.500 1
Pd2 0.250 0.250 0.750 1
Au1 0.250 0.250 0.250 1

| no. | V (Å³/atom) |
| --- | --- |
| 1 | 19.56 |
| 2 | 18.16 |
| 3 | 19.94 |
| 4 | 23.77 |
| 5 | 16.53 |
| 6 | 16.53 |